Entry from the Open Quantum Materials Database: an optimized crystal structure of BaPdSO (PBE).

Cell: 4.5342 8.7599 9.1843 Å, 90.00 90.00 90.00°
Atoms (fractional coordinates):
Ba 0.0399 0.2014 0.1728
Ba 0.4601 0.7986 0.6728
Ba 0.5399 0.2986 0.8272
Ba 0.9601 0.7014 0.3272
Pd 0.0384 0.6033 0.9583
Pd 0.4616 0.3967 0.4583
Pd 0.5384 0.8967 0.0417
Pd 0.9616 0.1033 0.5417
S 0.0378 0.8721 0.9722
S 0.4622 0.1279 0.4722
S 0.5378 0.6279 0.0278
S 0.9622 0.3721 0.5278
O 0.0400 0.3716 0.9453
O 0.4600 0.6284 0.4453
O 0.5400 0.1284 0.0547
O 0.9600 0.8716 0.5547

Results
crystal system	orthorhombic
volume	22.80	Å³/atom
space-group type	No. 19
ΔE to the lowest computed polymorph	0	meV/atom
raw total energy	-21.78	eV per formula unit


Entry from the Open Quantum Materials Database: an optimized crystal structure of BaPdSO (PBE).

Cell: 4.3957 4.3957 8.4271 Å, 90.00 90.00 90.00°
Atoms (fractional coordinates):
Ba 0.2500 0.2500 0.1650
Ba 0.7500 0.7500 0.8350
Pd 0.2500 0.2500 0.6083
Pd 0.7500 0.7500 0.3917
S 0.2500 0.7500 0.5000
S 0.7500 0.2500 0.5000
O 0.2500 0.2500 0.8727
O 0.7500 0.7500 0.1273

Results
crystal system	tetragonal
volume	20.35	Å³/atom
space-group type	No. 129
ΔE to the lowest computed polymorph	159	meV/atom
raw total energy	-21.14	eV per formula unit


Entry from the Open Quantum Materials Database: an optimized crystal structure of BaPdSO (PBE).

Cell: 3.5194 12.8861 7.9472 Å, 90.00 90.00 90.00°
Atoms (fractional coordinates):
Ba 0.0000 0.0805 0.0000
Ba 0.0000 0.9195 0.5000
Ba 0.5000 0.4195 0.5000
Ba 0.5000 0.5805 0.0000
Pd 0.0000 0.3226 0.8104
Pd 0.0000 0.6774 0.3104
Pd 0.5000 0.1774 0.3104
Pd 0.5000 0.8226 0.8104
S 0.0000 0.2894 0.2477
S 0.0000 0.7106 0.7477
S 0.5000 0.2106 0.7477
S 0.5000 0.7894 0.2477
O 0.0000 0.0765 0.3225
O 0.0000 0.9235 0.8225
O 0.5000 0.4235 0.8225
O 0.5000 0.5765 0.3225

Results
crystal system	orthorhombic
volume	22.53	Å³/atom
space-group type	No. 36
ΔE to the lowest computed polymorph	254	meV/atom
raw total energy	-20.76	eV per formula unit


Entry from the Open Quantum Materials Database: an optimized crystal structure of BaPdSO (PBE).

Cell: 4.0065 4.0065 9.8901 Å, 90.00 90.00 90.00°
Atoms (fractional coordinates):
Ba 0.2500 0.2500 0.1491
Ba 0.7500 0.7500 0.8509
Pd 0.2500 0.7500 0.5000
Pd 0.7500 0.2500 0.5000
S 0.2500 0.2500 0.6401
S 0.7500 0.7500 0.3599
O 0.2500 0.2500 0.8908
O 0.7500 0.7500 0.1092

Results
crystal system	tetragonal
volume	19.84	Å³/atom
space-group type	No. 129
ΔE to the lowest computed polymorph	167	meV/atom
raw total energy	-21.11	eV per formula unit


Entry from the Open Quantum Materials Database: an optimized crystal structure of BaPdSO (PBE).

Cell: 4.0770 12.9447 6.1064 Å, 90.00 90.00 90.00°
Atoms (fractional coordinates):
Ba 0.0000 0.0971 0.2500
Ba 0.0000 0.9029 0.7500
Ba 0.5000 0.4029 0.7500
Ba 0.5000 0.5971 0.2500
Pd 0.0000 0.3790 0.2500
Pd 0.0000 0.6210 0.7500
Pd 0.5000 0.1210 0.7500
Pd 0.5000 0.8790 0.2500
S 0.0000 0.1997 0.7500
S 0.0000 0.8003 0.2500
S 0.5000 0.3003 0.2500
S 0.5000 0.6997 0.7500
O 0.0000 0.5000 0.0000
O 0.0000 0.5000 0.5000
O 0.5000 0.0000 0.0000
O 0.5000 0.0000 0.5000

Results
crystal system	orthorhombic
volume	20.14	Å³/atom
space-group type	No. 63
ΔE to the lowest computed polymorph	160	meV/atom
raw total energy	-21.14	eV per formula unit


Entry from the Open Quantum Materials Database: an optimized crystal structure of BaPdSO (PBE).

Cell: 4.1275 4.1275 11.2544 Å, 90.00 90.00 120.00°
Atoms (fractional coordinates):
Ba 0.0000 0.0000 0.0000
Ba 0.0000 0.0000 0.5000
Pd 0.3333 0.6667 0.2284
Pd 0.6667 0.3333 0.7284
S 0.3333 0.6667 0.6700
S 0.6667 0.3333 0.1700
O 0.0000 0.0000 0.2841
O 0.0000 0.0000 0.7841

Results
crystal system	hexagonal
volume	20.76	Å³/atom
space-group type	No. 186
ΔE to the lowest computed polymorph	638	meV/atom
raw total energy	-19.22	eV per formula unit